# CrPCl2, optimized geometry, DFT PBEsol
data_CrPCl2
_chemical_formula_sum 'Cr1 P1 Cl2'
_symmetry_space_group_name_H-M 'P 1'
_symmetry_Int_Tables_number 1
_symmetry_space_group_name_Hall 'P 1'
_cell_length_a 2.8561
_cell_length_b 2.8561
_cell_length_c 9.0016
_cell_angle_alpha 90.00
_cell_angle_beta 90.00
_cell_angle_gamma 90.00
loop_
_atom_site_label
_atom_site_fract_x
_atom_site_fract_y
_atom_site_fract_z
Cr1 0.0000 0.0000 0.0000
P1 0.0000 0.0000 0.5000
Cl1 0.5000 0.5000 0.1620
Cl2 0.5000 0.5000 0.8380
# ΔE_f (raw)   0.273 eV/atom
# Density of states at the Fermi level   4.1 states/eV per cell
# Mass density   3.48 g cm⁻³